Entry 1:
Crystalline In4Pd2Pt at its relaxed geometry, computed with PBE.

Calculated values
Raw total energy ... -4.0909 eV/atom
Density ... 8213 kg/m3

Structure (CIF):
```
data_In4Pd2Pt
_chemical_formula_sum 'In8 Pd4 Pt2'
_cell_length_a 5.134
_cell_length_b 5.134
_cell_length_c 13.302
_cell_angle_alpha 90.00
_cell_angle_beta 90.00
_cell_angle_gamma 90.00
_symmetry_space_group_name_H-M 'I 4/m m m'
_symmetry_Int_Tables_number 139
_symmetry_space_group_name_Hall '-I 4 2'
loop_
_atom_site_label
_atom_site_type_symbol
_atom_site_fract_x
_atom_site_fract_y
_atom_site_fract_z
In1 In 0.000 0.000 0.201
In2 In 0.000 0.500 0.000
Pd1 Pd 0.000 0.000 0.398
Pt1 Pt 0.000 0.000 0.000
```

=====

Entry 2:
Crystalline Ce5Ga2Ge5 at its relaxed geometry, computed with PBE.

Calculated values
Raw total energy ... -5.5538 eV/atom
E above lowest polymorph ... 0.0000 eV per atom
Density ... 7193 kg/m3

Structure (CIF):
```
data_Ce5Ga2Ge5
_chemical_formula_sum 'Ce10 Ga4 Ge10'
_cell_length_a 15.097
_cell_length_b 4.156
_cell_length_c 11.205
_cell_angle_alpha 90.00
_cell_angle_beta 127.80
_cell_angle_gamma 90.00
_symmetry_space_group_name_H-M 'C 1 2/m 1'
_symmetry_Int_Tables_number 12
loop_
_symmetry_equiv_pos_as_xyz
'x,y,z'
'-x,-y,-z'
'-x,y,-z'
'x,-y,z'
'x+1/2,y+1/2,z'
'-x+1/2,-y+1/2,-z'
'-x+1/2,y+1/2,-z'
'x+1/2,-y+1/2,z'
loop_
_atom_site_label
_atom_site_type_symbol
_atom_site_fract_x
_atom_site_fract_y
_atom_site_fract_z
Ce1 Ce 0.000 0.000 0.000
Ce2 Ce 0.129 0.500 0.805
Ce3 Ce 0.187 0.500 0.591
Ga1 Ga 0.124 0.500 0.272
Ge1 Ge 0.000 0.000 0.500
Ge2 Ge 0.061 0.000 0.321
Ge3 Ge 0.194 0.500 0.118
```

=====

Entry 3:
Crystalline Pm4Al2Cd5 at its relaxed geometry, computed with PBE.

Calculated values
Raw total energy ... -3.1209 eV/atom
Density ... 6901 kg/m3

Structure (CIF):
```
data_Pm4Al2Cd5
_chemical_formula_sum 'Pm4 Al2 Cd5'
_cell_length_a 7.814
_cell_length_b 3.687
_cell_length_c 10.025
_cell_angle_alpha 90.00
_cell_angle_beta 94.85
_cell_angle_gamma 90.00
_symmetry_space_group_name_H-M 'P 1 2/m 1'
_symmetry_Int_Tables_number 10
loop_
_symmetry_equiv_pos_as_xyz
'x,y,z'
'-x,-y,-z'
'-x,y,-z'
'x,-y,z'
loop_
_atom_site_label
_atom_site_type_symbol
_atom_site_fract_x
_atom_site_fract_y
_atom_site_fract_z
Pm1 Pm 0.168 0.000 0.376
Pm2 Pm 0.265 0.000 0.940
Al1 Al 0.058 0.500 0.129
Cd1 Cd 0.187 0.500 0.663
Cd2 Cd 0.432 0.500 0.201
Cd3 Cd 0.500 0.500 0.500
```

=====

Entry 4:
Crystalline ZnIn2Au8 at its relaxed geometry, computed with PBE.

Calculated values
Raw total energy ... -3.1083 eV/atom
E above lowest polymorph ... 0.0000 eV per atom
Density ... 14901 kg/m3

Structure (CIF):
```
data_ZnIn2Au8
_chemical_formula_sum 'Zn2 In4 Au16'
_cell_length_a 4.553
_cell_length_b 6.626
_cell_length_c 13.821
_cell_angle_alpha 90.00
_cell_angle_beta 90.00
_cell_angle_gamma 90.00
_symmetry_space_group_name_H-M 'I m m m'
_symmetry_Int_Tables_number 71
_symmetry_space_group_name_Hall '-I 2 2'
loop_
_atom_site_label
_atom_site_type_symbol
_atom_site_fract_x
_atom_site_fract_y
_atom_site_fract_z
Zn1 Zn 0.000 0.000 0.000
In1 In 0.000 0.000 0.312
Au1 Au 0.000 0.238 0.500
Au2 Au 0.000 0.272 0.134
Au3 Au 0.000 0.500 0.324
```